A relaxed structure of Sm4ErZn, computed with PBE-GGA.

For the relative energy among the computed polymorphs, the calculation gives 101 meV per atom. The total DFT energy (no corrections) is -4.113 eV/atom. The value obtained for the total moment is 0.000 μB per formula unit. The value obtained for the formation enthalpy at 0 K is 0.006 eV/atom.

The space group is C2/c (No. 15) and the conventional cell measures 8.913, 13.695 and 6.310 Å, with angles of 90.00, 108.70 and 90.00 degrees. The inequivalent atoms are Sm at (0.103, 0.183, 0.050), Sm at (0.221, 0.388, 0.375), Er at (0.000, 0.406, 0.750) and Zn at (0.000, 0.000, 0.250).